{
  "formula": "KLiCa2",
  "functional": "PBE",
  "state": "optimized geometry",
  "lattice_angstrom": [[3.994, 0.000, 0.000], [0.000, 3.993, 0.000], [0.000, 0.000, 10.608]],
  "species": ["Ca", "Ca", "K", "Li"],
  "fractional_positions": [[0.000, 0.000, 0.931], [0.000, 0.000, 0.569], [0.500, 0.500, 0.250], [0.500, 0.500, 0.750]],
  "delta_e_f_ev_per_atom": 0.106,
  "total_magnetization_mub_per_fu": 0.00,
  "dos_ef_per_ev_atom": 1.07,
  "e_tot_ev_per_fu": -6.59
}